Entry 1:
KNa3Sn | PBE | relaxed

Calculated values
E above lowest polymorph ... 0.21 eV per formula unit
Energy relative to the elements ... -0.060 eV/atom

Cell lengths 6.031, 6.031, 6.031 Å; angles 90.00, 90.00, 90.00 degrees
Positions (direct):
1 Na 0.000 0.500 0.000
2 Na 0.000 0.000 0.500
3 Na 0.500 0.000 0.000
4 K 0.500 0.500 0.500
5 Sn 0.000 0.000 0.000

Entry 2:
CaAcTbCe | PBE | relaxed

Calculated values
Energy relative to the elements ... 0.247 eV/atom

Cell lengths 5.964, 5.964, 5.964 Å; angles 60.00, 60.00, 60.00 degrees
Positions (direct):
1 Ac 0.250 0.250 0.250
2 Tb 0.750 0.750 0.750
3 Ca 0.500 0.500 0.500
4 Ce 0.000 0.000 0.000

Entry 3:
BMo2Pb | PBE | relaxed

Calculated values
E above lowest polymorph ... 0.00 eV per formula unit
Energy relative to the elements ... 1.110 eV/atom

Cell lengths 5.108, 5.108, 7.253 Å; angles 69.38, 69.38, 90.00 degrees
Positions (direct):
1 Pb 0.000 0.000 0.000
2 Pb 0.750 0.250 0.500
3 Mo 0.473 0.125 0.250
4 Mo 0.277 0.625 0.250
5 Mo 0.375 0.527 0.750
6 Mo 0.875 0.723 0.750
7 B 0.500 0.500 0.000
8 B 0.250 0.750 0.500

Entry 4:
InRhPb2 | PBE | relaxed

Calculated values
Energy relative to the elements ... 0.022 eV/atom

Cell lengths 9.228, 9.228, 7.034 Å; angles 49.01, 49.01, 90.00 degrees
Positions (direct):
1 Pb 0.522 0.125 0.250
2 Pb 0.228 0.625 0.250
3 Pb 0.375 0.478 0.750
4 Pb 0.875 0.772 0.750
5 Rh 0.500 0.500 0.000
6 Rh 0.250 0.750 0.500
7 In 0.000 0.000 0.000
8 In 0.750 0.250 0.500

Entry 5:
TaV3Mo | PBE | relaxed

Calculated values
E above lowest polymorph ... 8.67 eV per formula unit
Energy relative to the elements ... 1.707 eV/atom

Cell lengths 4.528, 4.528, 4.528 Å; angles 90.00, 90.00, 90.00 degrees
Positions (direct):
1 Mo 0.500 0.500 0.500
2 Ta 0.000 0.000 0.000
3 V 0.000 0.500 0.000
4 V 0.000 0.000 0.500
5 V 0.500 0.000 0.000

Entry 6:
Sm5Er2Th | PBE | relaxed

Calculated values
Energy relative to the elements ... 0.026 eV/atom

Cell lengths 5.077, 7.180, 14.371 Å; angles 90.00, 90.00, 90.00 degrees
Positions (direct):
1 Sm 0.000 0.000 0.000
2 Sm 0.000 0.500 0.500
3 Sm 0.000 0.494 0.751
4 Sm 0.000 0.506 0.249
5 Sm 0.000 0.006 0.251
6 Sm 0.000 0.994 0.749
7 Sm 0.500 0.252 0.876
8 Sm 0.500 0.748 0.124
9 Sm 0.500 0.248 0.376
10 Sm 0.500 0.752 0.624
11 Er 0.500 0.241 0.623
12 Er 0.500 0.759 0.377
13 Er 0.500 0.259 0.123
14 Er 0.500 0.741 0.877
15 Th 0.000 0.000 0.500
16 Th 0.000 0.500 0.000

Entry 7:
CsPaSe2O | PBE | relaxed

Calculated values
Formation energy from raw total energies ... -2.0013 eV/atom

Cell lengths 4.340, 8.368, 9.774 Å; angles 107.35, 90.00, 90.00 degrees
Positions (direct):
1 Cs 0.250 0.688 0.309
2 Cs 0.750 0.312 0.691
3 Pa 0.250 0.812 0.828
4 Pa 0.750 0.188 0.172
5 Se 0.750 0.840 0.650
6 Se 0.750 0.828 0.036
7 Se 0.250 0.160 0.350
8 Se 0.250 0.172 0.964
9 O 0.250 0.576 0.775
10 O 0.750 0.424 0.225

Entry 8:
LiHgPt2 | PBE | relaxed

Calculated values
Energy relative to the elements ... -0.316 eV/atom

Cell lengths 5.003, 5.003, 5.003 Å; angles 133.53, 133.34, 67.97 degrees
Positions (direct):
1 Hg 0.250 0.750 0.500
2 Pt 0.000 0.000 0.000
3 Pt 0.500 0.500 0.000
4 Li 0.750 0.250 0.500